DFT (PBE) results for crystalline Nd4InCo at its relaxed geometry.

Summary:
Its total magnetic moment is 0.0 μB/f.u. The value obtained for the excess energy over the best structure of this formula in the dataset is 0.0000 eV/atom. Its density of states at the Fermi level is 0.872 states/eV/atom. The formation energy comes out at -1.40 eV per formula unit. The raw total energy comes out at -5.05 eV/atom.

```
Nd4InCo
1.0
8.5315 0.0000 4.9257
2.8438 8.0436 4.9257
0.0000 0.0000 9.8513
Nd In Co
16 4 4
Direct
0.4032 0.4032 0.7905 Nd
0.8100 0.1900 0.8100 Nd
0.1900 0.8100 0.1900 Nd
0.8100 0.1900 0.1900 Nd
0.4032 0.4032 0.4032 Nd
0.9405 0.9405 0.5595 Nd
0.9405 0.5595 0.9405 Nd
0.9405 0.5595 0.5595 Nd
0.1900 0.1900 0.8100 Nd
0.5595 0.5595 0.9405 Nd
0.7905 0.4032 0.4032 Nd
0.5595 0.9405 0.9405 Nd
0.4032 0.7905 0.4032 Nd
0.1900 0.8100 0.8100 Nd
0.8100 0.8100 0.1900 Nd
0.5595 0.9405 0.5595 Nd
0.1694 0.1694 0.1694 In
0.1694 0.4918 0.1694 In
0.1694 0.1694 0.4918 In
0.4918 0.1694 0.1694 In
0.6094 0.6094 0.1718 Co
0.6094 0.1718 0.6094 Co
0.6094 0.6094 0.6094 Co
0.1718 0.6094 0.6094 Co
```